{
  "formula": "SbPbW2O",
  "functional": "PBE+U",
  "state": "optimized geometry",
  "lattice": [[5.549, 0.000, 0.000], [0.000, 5.549, 0.000], [0.000, 0.000, 4.264]],
  "species": ["Sb", "Pb", "W", "W", "O"],
  "fractional_positions": [[0.000, 0.000, 0.000], [0.500, 0.500, 0.500], [0.000, 0.500, 0.500], [0.500, 0.000, 0.500], [0.500, 0.500, 0.000]],
  "volume_a3_per_cell": 131.3,
  "final_energy_ev_per_atom": -3.9970,
  "sg": "No. 123"
}